(1)
CrFe2H: optimized geometry, PBE-GGA.

```
data_CrFe2H
_chemical_formula_sum 'Cr3 Fe6 H3'
_cell_length_a 2.5338
_cell_length_b 2.5338
_cell_length_c 18.4456
_cell_angle_alpha 90.00
_cell_angle_beta 90.00
_cell_angle_gamma 120.00
_symmetry_space_group_name_H-M 'R -3 m'
_symmetry_Int_Tables_number 166
_symmetry_space_group_name_Hall '-R 3 2"'
loop_
_atom_site_label
_atom_site_type_symbol
_atom_site_fract_x
_atom_site_fract_y
_atom_site_fract_z
_atom_site_occupancy
Cr1 Cr 0.0000 0.0000 0.0000 1
Fe1 Fe 0.0000 0.0000 0.2253 1
H1 H 0.0000 0.0000 0.5000 1
```

=====

(2)
# PBE-GGA Cr2FeAg, optimized geometry
# - energy relative to the elements (eV per atom) = 0.478
data_Cr2FeAg
_chemical_formula_sum 'Cr6 Fe3 Ag3'
_cell_length_a 2.6267
_cell_length_b 2.6267
_cell_length_c 26.3020
_cell_angle_alpha 90.00
_cell_angle_beta 90.00
_cell_angle_gamma 120.00
_symmetry_space_group_name_H-M 'R 3 m'
_symmetry_Int_Tables_number 160
_symmetry_space_group_name_Hall 'R 3 -2"'
loop_
_atom_site_label
_atom_site_type_symbol
_atom_site_fract_x
_atom_site_fract_y
_atom_site_fract_z
_atom_site_occupancy
Cr1 Cr 0.0000 0.0000 0.0000 1
Cr2 Cr 0.0000 0.0000 0.2538 1
Fe1 Fe 0.0000 0.0000 0.7371 1
Ag1 Ag 0.0000 0.0000 0.4947 1

=====

(3)
# PBE-GGA LaZrCu, optimized geometry
# - energy relative to the elements (eV per atom) = 0.348
data_LaZrCu
_chemical_formula_sum 'La4 Zr4 Cu4'
_cell_length_a 6.7944
_cell_length_b 6.7944
_cell_length_c 6.7944
_cell_angle_alpha 90.00
_cell_angle_beta 90.00
_cell_angle_gamma 90.00
_symmetry_space_group_name_H-M 'F -4 3 m'
_symmetry_Int_Tables_number 216
_symmetry_space_group_name_Hall 'F -4 2 3'
loop_
_atom_site_label
_atom_site_type_symbol
_atom_site_fract_x
_atom_site_fract_y
_atom_site_fract_z
_atom_site_occupancy
La1 La 0.0000 0.0000 0.0000 1
Zr1 Zr 0.0000 0.0000 0.5000 1
Cu1 Cu 0.2500 0.2500 0.2500 1

=====

(4)
# PBE-GGA KRbHgO, optimized geometry
# - energy relative to the elements, uncorrected (eV/atom) = -0.723
data_KRbHgO
_chemical_formula_sum 'K2 Rb2 Hg2 O2'
_cell_length_a 14.1781
_cell_length_b 4.7324
_cell_length_c 3.8996
_cell_angle_alpha 90.00
_cell_angle_beta 105.39
_cell_angle_gamma 90.00
_symmetry_space_group_name_H-M 'C 1 m 1'
_symmetry_Int_Tables_number 8
loop_
_symmetry_equiv_pos_as_xyz
'x,y,z'
'x,-y,z'
'x+1/2,y+1/2,z'
'x+1/2,-y+1/2,z'
loop_
_atom_site_label
_atom_site_type_symbol
_atom_site_fract_x
_atom_site_fract_y
_atom_site_fract_z
_atom_site_occupancy
K1 K 0.0000 0.0000 0.0000 1
Rb1 Rb 0.3296 0.0000 0.8271 1
Hg1 Hg 0.1987 0.5000 0.2013 1
O1 O 0.3684 0.5000 0.3715 1

=====

In order of appearance, E above lowest polymorph = 0.000, 0.139, 0.397, 0.000 eV/atom.
In order of appearance, magnetic moment = 0.66, 0.50, 1.23, 0.00 μB/f.u..